# RbFeN2O (GGA+U, optimized geometry)
# Calculated volume (Å³ per cell): 60.2
# VASP energy (eV per atom): -4.482
data_RbFeN2O
_symmetry_space_group_name_H-M 'P 1'
_symmetry_Int_Tables_number 1
_symmetry_space_group_name_Hall 'P 1'
_cell_length_a 3.714
_cell_length_b 3.714
_cell_length_c 4.365
_cell_angle_alpha 90.00
_cell_angle_beta 90.00
_cell_angle_gamma 90.00
loop_
_atom_site_label
_atom_site_type_symbol
_atom_site_fract_x
_atom_site_fract_y
_atom_site_fract_z
_atom_site_occupancy
Rb1 Rb 0.000 0.000 0.000 1
Fe1 Fe 0.500 0.500 0.500 1
N1 N 0.000 0.500 0.500 1
N2 N 0.500 0.000 0.500 1
O1 O 0.500 0.500 0.000 1